[1]
KNaTlHg: optimized geometry, GGA-PBE.

Distance to the lowest polymorph of the same formula ... 0.0162 eV per atom
Total DFT energy (no corrections) ... -1.40 eV per atom
Calculated formation energy ... -0.127 eV/atom

Cell: 5.6141 5.6141 5.6141 Å, 60.00 60.00 60.00°
Closest atoms and distances in Å follow each position.
Fractional positions:
K 0.2500 0.2500 0.2500  4 Na 3.44, 4 Hg 3.44
Na 0.0000 0.0000 0.0000  4 Tl 3.44, 4 K 3.44
Tl 0.7500 0.7500 0.7500  4 Hg 3.44, 4 Na 3.44
Hg 0.5000 0.5000 0.5000  4 Tl 3.44, 4 K 3.44

***

[2]
K2Na5TlHg2: optimized geometry, GGA-PBE.

Total DFT energy (no corrections) ... -1.31 eV per atom
Calculated formation energy ... -0.131 eV/atom

Cell: 4.7390 12.1804 12.1804 Å, 90.00 90.00 90.00°
Closest atoms and distances in Å follow each position.
Fractional positions:
K 0.0000 0.6741 0.1741  3 Hg 3.51-3.66, 2 Na 3.82
K 0.0000 0.3259 0.8259  3 Hg 3.51-3.66, 2 Na 3.82
K 0.0000 0.1741 0.3259  3 Hg 3.51-3.66, 2 Na 3.82
K 0.0000 0.8259 0.6741  3 Hg 3.51-3.66, 2 Na 3.82
Na 0.5000 0.1987 0.0660  2 Hg 3.29, 2 Tl 3.48, 2 Na 3.61
Na 0.5000 0.8013 0.9340  2 Hg 3.29, 2 Tl 3.48, 2 Na 3.61
Na 0.5000 0.0660 0.8013  2 Hg 3.29, 2 Tl 3.48, 2 Na 3.61
Na 0.5000 0.6987 0.4340  2 Hg 3.29, 2 Tl 3.48, 2 Na 3.61
Na 0.5000 0.9340 0.1987  2 Hg 3.29, 2 Tl 3.48, 2 Na 3.61
Na 0.5000 0.3013 0.5660  2 Hg 3.29, 2 Tl 3.48, 2 Na 3.61
Na 0.5000 0.5660 0.6987  2 Hg 3.29, 2 Tl 3.48, 2 Na 3.61
Na 0.5000 0.4340 0.3013  2 Hg 3.29, 2 Tl 3.48, 2 Na 3.61
Na 0.5000 0.5000 0.0000  4 Hg 3.17
Na 0.5000 0.0000 0.5000  4 Hg 3.17
Tl 0.0000 0.0000 0.0000  8 Na 3.48
Tl 0.0000 0.5000 0.5000  8 Na 3.48
Hg 0.0000 0.1219 0.6219  6 Na 3.17-3.29, 1 K 3.51
Hg 0.0000 0.8781 0.3781  6 Na 3.17-3.29, 1 K 3.51
Hg 0.0000 0.6219 0.8781  6 Na 3.17-3.29, 1 K 3.51
Hg 0.0000 0.3781 0.1219  6 Na 3.17-3.29, 1 K 3.51

***

[3]
KNaTlHg2: optimized geometry, GGA-PBE.

Distance to the lowest polymorph of the same formula ... 0.0000 eV per atom
Total DFT energy (no corrections) ... -1.24 eV per atom
Calculated formation energy ... -0.164 eV/atom

Cell: 4.3889 5.1098 7.9801 Å, 108.67 105.96 90.00°
Closest atoms and distances in Å follow each position.
Fractional positions:
K 0.4406 0.4406 0.8812  4 Tl 3.70, 6 Hg 3.72-4.00, 2 Na 4.05
Na 0.1760 0.6760 0.3521  6 Hg 3.13-3.40, 2 Tl 3.18
Tl 0.8355 0.8355 0.6710  3 Hg 3.11-3.14, 2 Na 3.18
Hg 0.7095 0.2095 0.4191  2 Tl 3.14, 2 Hg 3.18, 4 Na 3.40
Hg 0.0505 0.0505 0.1010  1 Tl 3.11, 2 Na 3.13, 2 Hg 3.18

***

[4]
K2NaTlHg2: optimized geometry, GGA-PBE.

Total DFT energy (no corrections) ... -1.26 eV per atom
Calculated formation energy ... -0.183 eV/atom

Cell: 6.9634 7.0632 10.1009 Å, 110.46 110.16 90.00°
Closest atoms and distances in Å follow each position.
Fractional positions:
K 0.4232 0.1750 0.3501  5 Hg 3.61-3.68, 2 Tl 3.95, 2 Na 3.96
K 0.5768 0.8250 0.6499  5 Hg 3.61-3.68, 2 Tl 3.95, 2 Na 3.96
K 0.0731 0.3250 0.6499  5 Hg 3.61-3.68, 2 Tl 3.95, 2 Na 3.96
K 0.9269 0.6750 0.3501  5 Hg 3.61-3.68, 2 Tl 3.95, 2 Na 3.96
Na 0.5000 0.7500 0.0000  4 Hg 3.22, 2 Tl 3.48, 2 Na 3.53
Na 0.5000 0.2500 0.0000  4 Hg 3.22, 2 Tl 3.48, 2 Na 3.53
Tl 0.0000 0.7500 0.0000  4 Hg 3.21, 2 Na 3.48, 2 Tl 3.53
Tl 0.0000 0.2500 0.0000  4 Hg 3.21, 2 Na 3.48, 2 Tl 3.53
Hg 0.8676 0.1165 0.2330  2 Tl 3.21, 2 Na 3.22
Hg 0.3654 0.6165 0.2330  2 Tl 3.21, 2 Na 3.22
Hg 0.6346 0.3835 0.7670  2 Tl 3.21, 2 Na 3.22
Hg 0.1324 0.8835 0.7670  2 Tl 3.21, 2 Na 3.22

***

[5]
K2NaTlHg: optimized geometry, GGA-PBE.

Distance to the lowest polymorph of the same formula ... 0.0000 eV per atom
Total DFT energy (no corrections) ... -1.23 eV per atom
Calculated formation energy ... 0.009 eV/atom

Cell: 6.6172 6.6172 5.7746 Å, 90.00 90.00 90.00°
Closest atoms and distances in Å follow each position.
Fractional positions:
K 0.0000 0.5000 0.0000  2 Hg 3.31
K 0.5000 0.0000 0.0000  2 Hg 3.31
Na 0.5000 0.5000 0.5000  8 K 4.39, 4 Tl 4.68
Tl 0.0000 0.0000 0.5000  2 Hg 2.89
Hg 0.0000 0.0000 0.0000  2 Tl 2.89

***

[6]
K2NaTl2Hg5: optimized geometry, GGA-PBE.

Total DFT energy (no corrections) ... -1.15 eV per atom
Calculated formation energy ... -0.176 eV/atom

Cell: 4.2007 12.2932 12.2932 Å, 90.00 90.00 90.00°
Closest atoms and distances in Å follow each position.
Fractional positions:
K 0.0000 0.6698 0.1698  3 Tl 3.46-3.73, 6 Hg 3.62-3.86
K 0.0000 0.3302 0.8302  3 Tl 3.46-3.73, 6 Hg 3.62-3.86
K 0.0000 0.1698 0.3302  3 Tl 3.46-3.73, 6 Hg 3.62-3.86
K 0.0000 0.8302 0.6698  3 Tl 3.46-3.73, 6 Hg 3.62-3.86
Na 0.0000 0.0000 0.0000  8 Hg 3.16
Na 0.0000 0.5000 0.5000  8 Hg 3.16
Tl 0.0000 0.1314 0.6314  6 Hg 3.10-3.23, 1 K 3.46
Tl 0.0000 0.8686 0.3686  6 Hg 3.10-3.23, 1 K 3.46
Tl 0.0000 0.6314 0.8686  6 Hg 3.10-3.23, 1 K 3.46
Tl 0.0000 0.3686 0.1314  6 Hg 3.10-3.23, 1 K 3.46
Hg 0.5000 0.1799 0.0671  2 Na 3.16, 2 Tl 3.23, 2 Hg 3.34
Hg 0.5000 0.8201 0.9329  2 Na 3.16, 2 Tl 3.23, 2 Hg 3.34
Hg 0.5000 0.0671 0.8201  2 Na 3.16, 2 Tl 3.23, 2 Hg 3.34
Hg 0.5000 0.6799 0.4329  2 Na 3.16, 2 Tl 3.23, 2 Hg 3.34
Hg 0.5000 0.9329 0.1799  2 Na 3.16, 2 Tl 3.23, 2 Hg 3.34
Hg 0.5000 0.3201 0.5671  2 Na 3.16, 2 Tl 3.23, 2 Hg 3.34
Hg 0.5000 0.5671 0.6799  2 Na 3.16, 2 Tl 3.23, 2 Hg 3.34
Hg 0.5000 0.4329 0.3201  2 Na 3.16, 2 Tl 3.23, 2 Hg 3.34
Hg 0.5000 0.5000 0.0000  4 Tl 3.10
Hg 0.5000 0.0000 0.5000  4 Tl 3.10

***

[7]
K2NaTlHg: optimized geometry, GGA-PBE.

Distance to the lowest polymorph of the same formula ... 0.0414 eV per atom
Total DFT energy (no corrections) ... -1.19 eV per atom
Calculated formation energy ... 0.051 eV/atom

Cell: 6.5002 6.5002 5.7856 Å, 90.00 90.00 90.00°
Closest atoms and distances in Å follow each position.
Fractional positions:
K 0.0000 0.5000 0.0000  2 Hg 3.25
K 0.5000 0.0000 0.0000  2 Hg 3.25
Na 0.0000 0.0000 0.5000  2 Hg 2.89
Tl 0.5000 0.5000 0.5000  8 K 4.35, 4 Na 4.60
Hg 0.0000 0.0000 0.0000  2 Na 2.89

***

[8]
KNaTl2Hg2: optimized geometry, GGA-PBE.

Total DFT energy (no corrections) ... -1.47 eV per atom
Calculated formation energy ... -0.180 eV/atom

Cell: 5.2435 5.2435 8.0076 Å, 90.00 90.00 120.00°
Closest atoms and distances in Å follow each position.
Fractional positions:
K 0.0000 0.0000 0.0000  6 Hg 3.82, 6 Tl 3.83, 2 Na 4.00
Na 0.0000 0.0000 0.5000  6 Tl 3.45, 6 Hg 3.46
Tl 0.3333 0.6667 0.7073  4 Hg 3.03-3.33
Tl 0.6667 0.3333 0.2927  4 Hg 3.03-3.33
Hg 0.3333 0.6667 0.2908  4 Tl 3.03-3.33
Hg 0.6667 0.3333 0.7092  4 Tl 3.03-3.33

***

[9]
KNaTlHg2: optimized geometry, GGA-PBE.

Distance to the lowest polymorph of the same formula ... 0.1253 eV per atom
Total DFT energy (no corrections) ... -1.12 eV per atom
Calculated formation energy ... -0.039 eV/atom

Cell: 5.8361 5.8361 5.9318 Å, 90.00 90.00 90.00°
Closest atoms and distances in Å follow each position.
Fractional positions:
K 0.5000 0.5000 0.5000  4 Na 4.13, 8 Hg 4.16
Na 0.0000 0.0000 0.5000  2 Tl 2.97
Tl 0.0000 0.0000 0.0000  4 Hg 2.92, 2 Na 2.97
Hg 0.0000 0.5000 0.0000  2 Tl 2.92
Hg 0.5000 0.0000 0.0000  2 Tl 2.92

***

[10]
K2Na3Tl4Hg2: optimized geometry, GGA-PBE.

Total DFT energy (no corrections) ... -1.49 eV per atom
Calculated formation energy ... -0.020 eV/atom

Cell: 5.0666 5.0666 15.9837 Å, 99.12 99.12 90.00°
Closest atoms and distances in Å follow each position.
Fractional positions:
K 0.3010 0.3010 0.6019  5 Na 3.71-4.13, 4 Tl 3.94
K 0.6990 0.6990 0.3981  5 Na 3.71-4.13, 4 Tl 3.94
Na 0.0000 0.0000 0.0000  8 Hg 3.85, 8 Tl 4.07
Na 0.1683 0.1683 0.3366  4 Tl 3.26
Na 0.8317 0.8317 0.6634  4 Tl 3.26
Tl 0.3977 0.8977 0.7953  2 Hg 3.10, 2 Na 3.26
Tl 0.8977 0.3977 0.7953  2 Hg 3.10, 2 Na 3.26
Tl 0.1023 0.6023 0.2047  2 Hg 3.10, 2 Na 3.26
Tl 0.6023 0.1023 0.2047  2 Hg 3.10, 2 Na 3.26
Hg 0.4549 0.4549 0.9097  1 Hg 2.81, 4 Tl 3.10
Hg 0.5451 0.5451 0.0903  1 Hg 2.81, 4 Tl 3.10

***

[11]
K2Na5Tl2Hg: optimized geometry, GGA-PBE.

Total DFT energy (no corrections) ... -1.48 eV per atom
Calculated formation energy ... -0.094 eV/atom

Cell: 4.4576 12.7204 12.7204 Å, 90.00 90.00 90.00°
Closest atoms and distances in Å follow each position.
Fractional positions:
K 0.0000 0.6733 0.1733  3 Tl 3.61-3.85, 2 Na 3.83
K 0.0000 0.3267 0.8267  3 Tl 3.61-3.85, 2 Na 3.83
K 0.0000 0.1733 0.3267  3 Tl 3.61-3.85, 2 Na 3.83
K 0.0000 0.8267 0.6733  3 Tl 3.61-3.85, 2 Na 3.83
Na 0.5000 0.1892 0.0610  2 Tl 3.34, 2 Hg 3.37, 2 Na 3.58
Na 0.5000 0.8108 0.9390  2 Tl 3.34, 2 Hg 3.37, 2 Na 3.58
Na 0.5000 0.0610 0.8108  2 Tl 3.34, 2 Hg 3.37, 2 Na 3.58
Na 0.5000 0.6892 0.4390  2 Tl 3.34, 2 Hg 3.37, 2 Na 3.58
Na 0.5000 0.9390 0.1892  2 Tl 3.34, 2 Hg 3.37, 2 Na 3.58
Na 0.5000 0.3108 0.5611  2 Tl 3.34, 2 Hg 3.37, 2 Na 3.58
Na 0.5000 0.5611 0.6892  2 Tl 3.34, 2 Hg 3.37, 2 Na 3.58
Na 0.5000 0.4390 0.3108  2 Tl 3.34, 2 Hg 3.37, 2 Na 3.58
Na 0.5000 0.5000 0.0000  4 Tl 3.18
Na 0.5000 0.0000 0.5000  4 Tl 3.18
Tl 0.0000 0.1260 0.6260  6 Na 3.18-3.34
Tl 0.0000 0.8740 0.3740  6 Na 3.18-3.34
Tl 0.0000 0.6260 0.8740  6 Na 3.18-3.34
Tl 0.0000 0.3740 0.1260  6 Na 3.18-3.34
Hg 0.0000 0.0000 0.0000  8 Na 3.37
Hg 0.0000 0.5000 0.5000  8 Na 3.37

***

Repeat the second record exactly.
K2Na5TlHg2: optimized geometry, GGA-PBE.

Total DFT energy (no corrections) ... -1.31 eV per atom
Calculated formation energy ... -0.131 eV/atom

Cell: 4.7390 12.1804 12.1804 Å, 90.00 90.00 90.00°
Closest atoms and distances in Å follow each position.
Fractional positions:
K 0.0000 0.6741 0.1741  3 Hg 3.51-3.66, 2 Na 3.82
K 0.0000 0.3259 0.8259  3 Hg 3.51-3.66, 2 Na 3.82
K 0.0000 0.1741 0.3259  3 Hg 3.51-3.66, 2 Na 3.82
K 0.0000 0.8259 0.6741  3 Hg 3.51-3.66, 2 Na 3.82
Na 0.5000 0.1987 0.0660  2 Hg 3.29, 2 Tl 3.48, 2 Na 3.61
Na 0.5000 0.8013 0.9340  2 Hg 3.29, 2 Tl 3.48, 2 Na 3.61
Na 0.5000 0.0660 0.8013  2 Hg 3.29, 2 Tl 3.48, 2 Na 3.61
Na 0.5000 0.6987 0.4340  2 Hg 3.29, 2 Tl 3.48, 2 Na 3.61
Na 0.5000 0.9340 0.1987  2 Hg 3.29, 2 Tl 3.48, 2 Na 3.61
Na 0.5000 0.3013 0.5660  2 Hg 3.29, 2 Tl 3.48, 2 Na 3.61
Na 0.5000 0.5660 0.6987  2 Hg 3.29, 2 Tl 3.48, 2 Na 3.61
Na 0.5000 0.4340 0.3013  2 Hg 3.29, 2 Tl 3.48, 2 Na 3.61
Na 0.5000 0.5000 0.0000  4 Hg 3.17
Na 0.5000 0.0000 0.5000  4 Hg 3.17
Tl 0.0000 0.0000 0.0000  8 Na 3.48
Tl 0.0000 0.5000 0.5000  8 Na 3.48
Hg 0.0000 0.1219 0.6219  6 Na 3.17-3.29, 1 K 3.51
Hg 0.0000 0.8781 0.3781  6 Na 3.17-3.29, 1 K 3.51
Hg 0.0000 0.6219 0.8781  6 Na 3.17-3.29, 1 K 3.51
Hg 0.0000 0.3781 0.1219  6 Na 3.17-3.29, 1 K 3.51